Sm3ThTl4 GGA-PBE relaxed; calculated formation energy = -2.5 eV per formula unit; calculated volume = 28.78 Å³/atom; density = 10.8 g cm⁻³
1.0
3.611 0.000 0.000
0.000 3.611 0.000
0.000 0.000 17.660
Tl Th Sm
4 1 3
direct
0.000 0.000 0.871 Tl
0.000 0.000 0.129 Tl
0.000 0.000 0.377 Tl
0.000 0.000 0.623 Tl
0.500 0.500 0.000 Th
0.500 0.500 0.253 Sm
0.500 0.500 0.500 Sm
0.500 0.500 0.747 Sm